12
Lattice="2.6142 -7.8606 0.0000 2.6142 7.8606 0.0000 0.0000 0.0000 7.4233" Properties=species:S:1:pos:R:3 comment="PmPr5Zn6 (PBE-GGA, optimized geometry)" formation_energy_ev_per_atom=-0.302 dos_at_fermi_per_ev_fu=13.90 total_energy_ev_per_atom=-3.33 pbc="T T T"
Pm 0.0000 0.0000 0.0000
Pr 0.0000 0.0000 3.7116
Pr 2.6142 2.6303 3.7116
Pr 2.6142 2.6152 0.0000
Pr 2.6142 -2.6152 0.0000
Pr 2.6142 -2.6303 3.7116
Zn 2.6142 5.2658 1.8414
Zn 2.6142 5.2658 5.5819
Zn 2.6142 0.0000 1.8337
Zn 2.6142 0.0000 5.5896
Zn 2.6142 -5.2658 1.8414
Zn 2.6142 -5.2658 5.5819